Here is a geometry-optimized MoH2Au structure from Alexandria. Energies are from PBE.

The structure in CIF format:
```
data_MoH2Au
_symmetry_space_group_name_H-M 'I -4 2 d'
_symmetry_Int_Tables_number 122
_symmetry_space_group_name_Hall 'I -4 2bw'
_cell_length_a 4.421
_cell_length_b 4.421
_cell_length_c 8.508
_cell_angle_alpha 90.00
_cell_angle_beta 90.00
_cell_angle_gamma 90.00
loop_
_atom_site_label
_atom_site_fract_x
_atom_site_fract_y
_atom_site_fract_z
_atom_site_occupancy
Mo1 0.000 0.000 0.000 1
H1 0.217 0.250 0.125 1
Au1 0.000 0.000 0.500 1
```

Values from the calculation:
V in Å³/atom: 10.40
Energy above the most stable polymorph in this dataset in meV per atom: 209

***

Here is a geometry-optimized MoHAu2 structure from Alexandria. Energies are from PBE.

The structure in CIF format:
```
data_MoHAu2
_symmetry_space_group_name_H-M 'I -4 2 d'
_symmetry_Int_Tables_number 122
_symmetry_space_group_name_Hall 'I -4 2bw'
_cell_length_a 6.663
_cell_length_b 6.663
_cell_length_c 5.194
_cell_angle_alpha 90.00
_cell_angle_beta 90.00
_cell_angle_gamma 90.00
loop_
_atom_site_label
_atom_site_fract_x
_atom_site_fract_y
_atom_site_fract_z
_atom_site_occupancy
Mo1 0.000 0.000 0.000 1
H1 0.000 0.000 0.500 1
Au1 0.161 0.250 0.625 1
```

Values from the calculation:
V in Å³/atom: 14.41
Energy above the most stable polymorph in this dataset in meV per atom: 0

***

Here is a geometry-optimized MoH2Au structure from Alexandria. Energies are from PBE.

The structure in CIF format:
```
data_MoH2Au
_symmetry_space_group_name_H-M 'F m -3 m'
_symmetry_Int_Tables_number 225
_symmetry_space_group_name_Hall '-F 4 2 3'
_cell_length_a 5.506
_cell_length_b 5.506
_cell_length_c 5.506
_cell_angle_alpha 90.00
_cell_angle_beta 90.00
_cell_angle_gamma 90.00
loop_
_atom_site_label
_atom_site_fract_x
_atom_site_fract_y
_atom_site_fract_z
_atom_site_occupancy
Mo1 0.000 0.000 0.000 1
H1 0.250 0.250 0.250 1
Au1 0.000 0.000 0.500 1
```

Values from the calculation:
V in Å³/atom: 10.43
Energy above the most stable polymorph in this dataset in meV per atom: 568

***

Here is a geometry-optimized MoHAu3 structure from Alexandria. Energies are from PBE.

The structure in CIF format:
```
data_MoHAu3
_symmetry_space_group_name_H-M 'P m -3 m'
_symmetry_Int_Tables_number 221
_symmetry_space_group_name_Hall '-P 4 2 3'
_cell_length_a 5.089
_cell_length_b 5.089
_cell_length_c 5.089
_cell_angle_alpha 90.00
_cell_angle_beta 90.00
_cell_angle_gamma 90.00
loop_
_atom_site_label
_atom_site_fract_x
_atom_site_fract_y
_atom_site_fract_z
_atom_site_occupancy
Mo1 0.000 0.000 0.000 1
H1 0.500 0.500 0.500 1
Au1 0.000 0.000 0.500 1
```

Values from the calculation:
V in Å³/atom: 26.36
Energy above the most stable polymorph in this dataset in meV per atom: 904

***

Here is a geometry-optimized MoHAu2 structure from Alexandria. Energies are from PBE.

The structure in CIF format:
```
data_MoHAu2
_symmetry_space_group_name_H-M 'F m -3 m'
_symmetry_Int_Tables_number 225
_symmetry_space_group_name_Hall '-F 4 2 3'
_cell_length_a 6.329
_cell_length_b 6.329
_cell_length_c 6.329
_cell_angle_alpha 90.00
_cell_angle_beta 90.00
_cell_angle_gamma 90.00
loop_
_atom_site_label
_atom_site_fract_x
_atom_site_fract_y
_atom_site_fract_z
_atom_site_occupancy
Mo1 0.000 0.000 0.000 1
H1 0.000 0.000 0.500 1
Au1 0.250 0.250 0.250 1
```

Values from the calculation:
V in Å³/atom: 15.85
Energy above the most stable polymorph in this dataset in meV per atom: 299

***

Here is a geometry-optimized MoH2Au structure from Alexandria. Energies are from PBE.

The structure in CIF format:
```
data_MoH2Au
_symmetry_space_group_name_H-M 'R 3 m'
_symmetry_Int_Tables_number 160
_symmetry_space_group_name_Hall 'R 3 -2"'
_cell_length_a 3.0217
_cell_length_b 3.0217
_cell_length_c 15.5423
_cell_angle_alpha 90.00
_cell_angle_beta 90.00
_cell_angle_gamma 120.00
loop_
_atom_site_label
_atom_site_fract_x
_atom_site_fract_y
_atom_site_fract_z
_atom_site_occupancy
Mo1 0.0000 0.0000 0.0000 1
H1 0.0000 0.0000 0.3838 1
H2 0.0000 0.0000 0.6269 1
Au1 0.0000 0.0000 0.1796 1
```

Values from the calculation:
V in Å³/atom: 10.24
Energy above the most stable polymorph in this dataset in meV per atom: 0

***

Here is a geometry-optimized Nb2MoHAu structure from Alexandria. Energies are from PBE.

The structure in CIF format:
```
data_Nb2MoHAu
_symmetry_space_group_name_H-M 'P 4/m m m'
_symmetry_Int_Tables_number 123
_symmetry_space_group_name_Hall '-P 4 2'
_cell_length_a 4.214
_cell_length_b 4.214
_cell_length_c 4.005
_cell_angle_alpha 90.00
_cell_angle_beta 90.00
_cell_angle_gamma 90.00
loop_
_atom_site_label
_atom_site_fract_x
_atom_site_fract_y
_atom_site_fract_z
_atom_site_occupancy
Nb1 0.000 0.500 0.000 1
Mo1 0.000 0.000 0.500 1
H1 0.000 0.000 0.000 1
Au1 0.500 0.500 0.500 1
```

Values from the calculation:
V in Å³/atom: 14.22
E in eV per cell: -37.99

***

Here is a geometry-optimized NbMo2HAu structure from Alexandria. Energies are from PBE.

The structure in CIF format:
```
data_NbMo2HAu
_symmetry_space_group_name_H-M 'P 4/m m m'
_symmetry_Int_Tables_number 123
_symmetry_space_group_name_Hall '-P 4 2'
_cell_length_a 4.058
_cell_length_b 4.058
_cell_length_c 4.157
_cell_angle_alpha 90.00
_cell_angle_beta 90.00
_cell_angle_gamma 90.00
loop_
_atom_site_label
_atom_site_fract_x
_atom_site_fract_y
_atom_site_fract_z
_atom_site_occupancy
Nb1 0.000 0.000 0.000 1
Mo1 0.000 0.500 0.500 1
H1 0.000 0.000 0.500 1
Au1 0.500 0.500 0.000 1
```

Values from the calculation:
V in Å³/atom: 13.69
E in eV per cell: -38.39

***

Here is a geometry-optimized Ni2MoHAu structure from Alexandria. Energies are from PBE.

The structure in CIF format:
```
data_Ni2MoHAu
_symmetry_space_group_name_H-M 'P 4/m m m'
_symmetry_Int_Tables_number 123
_symmetry_space_group_name_Hall '-P 4 2'
_cell_length_a 3.932
_cell_length_b 3.932
_cell_length_c 3.805
_cell_angle_alpha 90.00
_cell_angle_beta 90.00
_cell_angle_gamma 90.00
loop_
_atom_site_label
_atom_site_fract_x
_atom_site_fract_y
_atom_site_fract_z
_atom_site_occupancy
Ni1 0.000 0.500 0.000 1
Mo1 0.000 0.000 0.500 1
H1 0.000 0.000 0.000 1
Au1 0.500 0.500 0.500 1
```

Values from the calculation:
V in Å³/atom: 11.76
E in eV per cell: -27.94

***

Here is a geometry-optimized Mo2HPbAu structure from Alexandria. Energies are from PBE.

The structure in CIF format:
```
data_Mo2HPbAu
_symmetry_space_group_name_H-M 'P 4/m m m'
_symmetry_Int_Tables_number 123
_symmetry_space_group_name_Hall '-P 4 2'
_cell_length_a 4.074
_cell_length_b 4.074
_cell_length_c 4.583
_cell_angle_alpha 90.00
_cell_angle_beta 90.00
_cell_angle_gamma 90.00
loop_
_atom_site_label
_atom_site_fract_x
_atom_site_fract_y
_atom_site_fract_z
_atom_site_occupancy
Mo1 0.000 0.500 0.000 1
H1 0.000 0.000 0.000 1
Pb1 0.500 0.500 0.500 1
Au1 0.000 0.000 0.500 1
```

Values from the calculation:
V in Å³/atom: 15.21
E in eV per cell: -29.26

***

Here is a geometry-optimized MoHPb2Au structure from Alexandria. Energies are from PBE.

The structure in CIF format:
```
data_MoHPb2Au
_symmetry_space_group_name_H-M 'P 4/m m m'
_symmetry_Int_Tables_number 123
_symmetry_space_group_name_Hall '-P 4 2'
_cell_length_a 5.656
_cell_length_b 5.656
_cell_length_c 3.335
_cell_angle_alpha 90.00
_cell_angle_beta 90.00
_cell_angle_gamma 90.00
loop_
_atom_site_label
_atom_site_fract_x
_atom_site_fract_y
_atom_site_fract_z
_atom_site_occupancy
Mo1 0.000 0.000 0.000 1
H1 0.500 0.500 0.000 1
Pb1 0.000 0.500 0.500 1
Au1 0.500 0.500 0.500 1
```

Values from the calculation:
V in Å³/atom: 21.33
E in eV per cell: -21.25

***

Here is a geometry-optimized Mo2HPdAu structure from Alexandria. Energies are from PBE.

The structure in CIF format:
```
data_Mo2HPdAu
_symmetry_space_group_name_H-M 'P 4/m m m'
_symmetry_Int_Tables_number 123
_symmetry_space_group_name_Hall '-P 4 2'
_cell_length_a 3.929
_cell_length_b 3.929
_cell_length_c 4.287
_cell_angle_alpha 90.00
_cell_angle_beta 90.00
_cell_angle_gamma 90.00
loop_
_atom_site_label
_atom_site_fract_x
_atom_site_fract_y
_atom_site_fract_z
_atom_site_occupancy
Mo1 0.000 0.500 0.000 1
H1 0.000 0.000 0.000 1
Pd1 0.000 0.000 0.500 1
Au1 0.500 0.500 0.500 1
```

Values from the calculation:
V in Å³/atom: 13.24
E in eV per cell: -32.87